#a
Density functional theory data (PBE) for a geometry-optimized Pr4Bi2Sb structure.

Its crystal system is orthorhombic.

The space group is Cmcm (No. 63) and the conventional cell measures 4.526, 15.015 and 14.914 Å, with angles of 90.00, 90.00 and 90.00 degrees. The asymmetric unit holds Pr at (0.000, 0.000, 0.000), Pr at (0.000, 0.278, 0.128), Pr at (0.000, 0.460, 0.750), Bi at (0.000, 0.360, 0.565) and Sb at (0.000, 0.107, 0.750).

#b
Density functional theory data (PBE) for a geometry-optimized Pr4Bi2Sb structure.

Its crystal system is tetragonal.

The space group is I-42d (No. 122) and the conventional cell measures 9.690, 9.690 and 9.739 Å, with angles of 90.00, 90.00 and 90.00 degrees. The asymmetric unit holds Pr at (0.070, 0.183, 0.300), Bi at (0.122, 0.250, 0.625) and Sb at (0.000, 0.000, 0.000).

The energy of each structure relative to the most stable one, in meV/atom, is as follows: #a 140; #b 0.